First-principles (PBE-GGA) data for an optimized crystal structure of Mg3ReH, as listed in the Alexandria database.

a b c (Å): 5.226 5.226 5.226
angles (deg): 90.00 90.00 90.00
Each line ends with the local moment (μB).
Sites, in units of the cell vectors:
Mg 0.000 0.000 0.500  -0.01
Mg 0.000 0.500 0.000  0.01
Mg 0.500 0.000 0.000  0.02
Re 0.000 0.000 0.000  1.52
H 0.500 0.500 0.500  0.25

Values from the calculation:
Uncorrected energy: -2.676 eV per atom
Excess energy over the best structure of this formula in the dataset: 544 kJ/mol of formula units
Space group: Pm-3m, No. 221